# FeP2OsCl

Crystalline FeP2OsCl at its relaxed geometry (PBE, the Alexandria database).

Computed properties:
energy above the most stable polymorph in this dataset	0.2574	eV/atom
crystal system	tetragonal

Unit cell a=4.2328 b=4.2328 c=4.4659 alpha=90.00 beta=90.00 gamma=90.00
Fractional positions:
Fe (0.0000, 0.0000, 0.0000)
P (0.0000, 0.5000, 0.0000)
P (0.5000, 0.0000, 0.0000)
Os (0.5000, 0.5000, 0.5000)
Cl (0.0000, 0.0000, 0.5000)